# 1
# ZrTl2Pt, PBEsol geometry, DFT meta-GGA SCAN
# Excess energy over the best structure of this formula in the dataset ... 0.054 eV per atom
# Total energy ... -2.2626 hartree per atom
data_ZrTl2Pt
_symmetry_space_group_name_H-M 'F -4 3 m'
_symmetry_Int_Tables_number 216
_symmetry_space_group_name_Hall 'F -4 2 3'
_cell_length_a 6.9083
_cell_length_b 6.9083
_cell_length_c 6.9083
_cell_angle_alpha 90.00
_cell_angle_beta 90.00
_cell_angle_gamma 90.00
loop_
_atom_site_label
_atom_site_fract_x
_atom_site_fract_y
_atom_site_fract_z
Zr1 0.0000 0.0000 0.0000
Tl1 0.0000 0.0000 0.5000
Tl2 0.2500 0.2500 0.7500
Pt1 0.2500 0.2500 0.2500



# 2
# BeAs2BrN, PBEsol geometry, DFT meta-GGA SCAN
# Total energy ... -0.4917 hartree per atom
# Formation energy without anion corrections ... 1.32 eV/atom
data_BeAs2BrN
_symmetry_space_group_name_H-M 'P 4/m m m'
_symmetry_Int_Tables_number 123
_symmetry_space_group_name_Hall '-P 4 2'
_cell_length_a 4.2806
_cell_length_b 4.2806
_cell_length_c 4.4818
_cell_angle_alpha 90.00
_cell_angle_beta 90.00
_cell_angle_gamma 90.00
loop_
_atom_site_label
_atom_site_fract_x
_atom_site_fract_y
_atom_site_fract_z
Be1 0.0000 0.0000 0.0000
As1 0.0000 0.5000 0.5000
Br1 0.5000 0.5000 0.0000
N1 0.5000 0.5000 0.5000



# 3
# Sr3BPt, PBEsol geometry, DFT meta-GGA SCAN
# Total energy ... -1.0487 hartree per atom
data_Sr3BPt
_symmetry_space_group_name_H-M 'P m -3 m'
_symmetry_Int_Tables_number 221
_symmetry_space_group_name_Hall '-P 4 2 3'
_cell_length_a 5.6845
_cell_length_b 5.6845
_cell_length_c 5.6845
_cell_angle_alpha 90.00
_cell_angle_beta 90.00
_cell_angle_gamma 90.00
loop_
_atom_site_label
_atom_site_fract_x
_atom_site_fract_y
_atom_site_fract_z
Sr1 0.0000 0.0000 0.5000
B1 0.5000 0.5000 0.5000
Pt1 0.0000 0.0000 0.0000



# 4
# Cr2ReOsCl, PBEsol geometry, DFT meta-GGA SCAN
# Total energy ... -1.3288 hartree per atom
# Formation energy without anion corrections ... 1.39 eV/atom
data_Cr2ReOsCl
_symmetry_space_group_name_H-M 'P 4/m m m'
_symmetry_Int_Tables_number 123
_symmetry_space_group_name_Hall '-P 4 2'
_cell_length_a 4.0170
_cell_length_b 4.0170
_cell_length_c 4.2950
_cell_angle_alpha 90.00
_cell_angle_beta 90.00
_cell_angle_gamma 90.00
loop_
_atom_site_label
_atom_site_fract_x
_atom_site_fract_y
_atom_site_fract_z
Cr1 0.0000 0.5000 0.0000
Re1 0.0000 0.0000 0.5000
Os1 0.5000 0.5000 0.5000
Cl1 0.0000 0.0000 0.0000



# 5
# Mg2ScAg, PBEsol geometry, DFT meta-GGA SCAN
# Total energy ... -0.5162 hartree per atom
data_Mg2ScAg
_symmetry_space_group_name_H-M 'P m m m'
_symmetry_Int_Tables_number 47
_cell_length_a 4.0445
_cell_length_b 4.2770
_cell_length_c 4.6577
_cell_angle_alpha 90.00
_cell_angle_beta 90.00
_cell_angle_gamma 90.00
loop_
_symmetry_equiv_pos_as_xyz
'x,y,z'
'-x,-y,-z'
'-x,-y,z'
'x,y,-z'
'x,-y,-z'
'-x,y,z'
'-x,y,-z'
'x,-y,z'
loop_
_atom_site_label
_atom_site_fract_x
_atom_site_fract_y
_atom_site_fract_z
Mg1 0.0000 0.0000 0.0000
Mg2 0.5000 0.5000 0.0000
Sc1 0.0000 0.5000 0.5000
Ag1 0.5000 0.0000 0.5000



# 6
# CrInAs3, PBEsol geometry, DFT meta-GGA SCAN
# Total energy ... -0.8141 hartree per atom
data_CrInAs3
_symmetry_space_group_name_H-M 'P m -3 m'
_symmetry_Int_Tables_number 221
_symmetry_space_group_name_Hall '-P 4 2 3'
_cell_length_a 4.6692
_cell_length_b 4.6692
_cell_length_c 4.6692
_cell_angle_alpha 90.00
_cell_angle_beta 90.00
_cell_angle_gamma 90.00
loop_
_atom_site_label
_atom_site_fract_x
_atom_site_fract_y
_atom_site_fract_z
Cr1 0.0000 0.0000 0.0000
In1 0.5000 0.5000 0.5000
As1 0.0000 0.0000 0.5000



# 7
# TmAgS2, PBEsol geometry, DFT meta-GGA SCAN
# Total energy ... -0.9957 hartree per atom
# Formation energy without anion corrections ... -1.48 eV/atom
data_TmAgS2
_symmetry_space_group_name_H-M 'R -3 m'
_symmetry_Int_Tables_number 166
_symmetry_space_group_name_Hall '-R 3 2"'
_cell_length_a 3.9186
_cell_length_b 3.9186
_cell_length_c 17.8849
_cell_angle_alpha 90.00
_cell_angle_beta 90.00
_cell_angle_gamma 120.00
loop_
_atom_site_label
_atom_site_fract_x
_atom_site_fract_y
_atom_site_fract_z
Tm1 0.0000 0.0000 0.0000
Ag1 0.0000 0.0000 0.5000
S1 0.0000 0.0000 0.2524



# 8
# Na3NdAs2O8, PBEsol geometry, DFT meta-GGA SCAN
# Total energy ... -0.4606 hartree per atom
# Formation energy without anion corrections ... -2.07 eV/atom
data_Na3NdAs2O8
_symmetry_space_group_name_H-M 'P -3 m 1'
_symmetry_Int_Tables_number 164
_symmetry_space_group_name_Hall '-P 3 2"'
_cell_length_a 5.8733
_cell_length_b 5.8733
_cell_length_c 7.0383
_cell_angle_alpha 90.00
_cell_angle_beta 90.00
_cell_angle_gamma 120.00
loop_
_atom_site_label
_atom_site_fract_x
_atom_site_fract_y
_atom_site_fract_z
Na1 0.0000 0.0000 0.0000
Na2 0.3333 0.6667 0.6636
Nd1 0.0000 0.0000 0.5000
As1 0.3333 0.6667 0.2030
O1 0.1784 0.3568 0.3020
O2 0.3333 0.6667 0.9671



# 9
# AlBTe2, PBEsol geometry, DFT meta-GGA SCAN
# Excess energy over the best structure of this formula in the dataset ... 0.541 eV per atom
# Total energy ... -0.7870 hartree per atom
# Formation energy without anion corrections ... 1.01 eV/atom
data_AlBTe2
_symmetry_space_group_name_H-M 'F m -3 m'
_symmetry_Int_Tables_number 225
_symmetry_space_group_name_Hall '-F 4 2 3'
_cell_length_a 6.7903
_cell_length_b 6.7903
_cell_length_c 6.7903
_cell_angle_alpha 90.00
_cell_angle_beta 90.00
_cell_angle_gamma 90.00
loop_
_atom_site_label
_atom_site_fract_x
_atom_site_fract_y
_atom_site_fract_z
Al1 0.0000 0.0000 0.0000
B1 0.0000 0.0000 0.5000
Te1 0.2500 0.2500 0.2500



# 10
# Na2TaAuS, PBEsol geometry, DFT meta-GGA SCAN
# Total energy ... -1.1003 hartree per atom
# Formation energy without anion corrections ... 0.82 eV/atom
data_Na2TaAuS
_symmetry_space_group_name_H-M 'P 4/m m m'
_symmetry_Int_Tables_number 123
_symmetry_space_group_name_Hall '-P 4 2'
_cell_length_a 4.8788
_cell_length_b 4.8788
_cell_length_c 4.9322
_cell_angle_alpha 90.00
_cell_angle_beta 90.00
_cell_angle_gamma 90.00
loop_
_atom_site_label
_atom_site_fract_x
_atom_site_fract_y
_atom_site_fract_z
Na1 0.0000 0.5000 0.0000
Ta1 0.0000 0.0000 0.5000
Au1 0.5000 0.5000 0.5000
S1 0.5000 0.5000 0.0000



# 11
# RbCdP3, PBEsol geometry, DFT meta-GGA SCAN
# Total energy ... -0.5767 hartree per atom
data_RbCdP3
_symmetry_space_group_name_H-M 'P m -3 m'
_symmetry_Int_Tables_number 221
_symmetry_space_group_name_Hall '-P 4 2 3'
_cell_length_a 5.0584
_cell_length_b 5.0584
_cell_length_c 5.0584
_cell_angle_alpha 90.00
_cell_angle_beta 90.00
_cell_angle_gamma 90.00
loop_
_atom_site_label
_atom_site_fract_x
_atom_site_fract_y
_atom_site_fract_z
Rb1 0.0000 0.0000 0.0000
Cd1 0.5000 0.5000 0.5000
P1 0.0000 0.5000 0.5000



# 12
# CuIr2W, PBEsol geometry, DFT meta-GGA SCAN
# Excess energy over the best structure of this formula in the dataset ... 0.035 eV per atom
# Total energy ... -2.0859 hartree per atom
data_CuIr2W
_symmetry_space_group_name_H-M 'P 4/m m m'
_symmetry_Int_Tables_number 123
_symmetry_space_group_name_Hall '-P 4 2'
_cell_length_a 3.9098
_cell_length_b 3.9098
_cell_length_c 3.6356
_cell_angle_alpha 90.00
_cell_angle_beta 90.00
_cell_angle_gamma 90.00
loop_
_atom_site_label
_atom_site_fract_x
_atom_site_fract_y
_atom_site_fract_z
Cu1 0.0000 0.0000 0.0000
Ir1 0.0000 0.5000 0.5000
W1 0.5000 0.5000 0.0000



> What is the total energy in the fourth record?

-1.3288 hartree per atom



Copy entry 2 word for word.
# BeAs2BrN, PBEsol geometry, DFT meta-GGA SCAN
# Total energy ... -0.4917 hartree per atom
# Formation energy without anion corrections ... 1.32 eV/atom
data_BeAs2BrN
_symmetry_space_group_name_H-M 'P 4/m m m'
_symmetry_Int_Tables_number 123
_symmetry_space_group_name_Hall '-P 4 2'
_cell_length_a 4.2806
_cell_length_b 4.2806
_cell_length_c 4.4818
_cell_angle_alpha 90.00
_cell_angle_beta 90.00
_cell_angle_gamma 90.00
loop_
_atom_site_label
_atom_site_fract_x
_atom_site_fract_y
_atom_site_fract_z
Be1 0.0000 0.0000 0.0000
As1 0.0000 0.5000 0.5000
Br1 0.5000 0.5000 0.0000
N1 0.5000 0.5000 0.5000